! PBE-GGA CeAs2Au, relaxed; values from VASP
! Calculated formation energy ... -0.7238 eV per atom
! Calculated total energy ... -5.3514 eV per atom
&SYSTEM
  ibrav = 0, nat = 4, ntyp = 3
/
ATOMIC_SPECIES
Ce 140.12 Ce.upf
As 74.92 As.upf
Au 196.97 Au.upf
ATOMIC_POSITIONS crystal
Ce 0.000 0.000 0.000
As 0.000 0.500 0.500
As 0.500 0.000 0.500
Au 0.500 0.500 0.000
CELL_PARAMETERS angstrom
4.588 0.000 0.000
0.000 4.588 0.000
0.000 0.000 3.926